(one)
Material: PuScZn2
Method: DFT, PBE
State: optimized geometry

```
4
Lattice="0.000 3.465 3.465 3.465 0.000 3.465 3.465 3.465 0.000" Properties=species:S:1:pos:R:3 pbc="T T T"
Pu 0.000 0.000 0.000
Sc 3.465 3.465 3.465
Zn 1.733 1.733 1.733
Zn 5.198 5.198 5.198
```

Calculated values
Size of the total moment = 1.51 μB per atom



(two)
Material: PuScZn2
Method: DFT, PBE
State: optimized geometry

```
4
Lattice="3.258 0.000 0.000 0.000 3.258 0.000 0.000 0.000 7.645" Properties=species:S:1:pos:R:3 pbc="T T T"
Pu 0.000 0.000 0.000
Sc 0.000 0.000 3.823
Zn 1.629 1.629 2.117
Zn 1.629 1.629 5.529
```

Calculated values
Size of the total moment = 1.38 μB per atom



The structure with the most favorable energy is (two); the runner-up is 0.032 eV/atom above it.



(one)
Material: PuScZn4
Method: DFT, PBE
State: optimized geometry

```
6
Lattice="0.000 3.791 3.791 3.791 0.000 3.791 3.791 3.791 0.000" Properties=species:S:1:pos:R:3 pbc="T T T"
Pu 0.000 0.000 0.000
Sc 1.895 1.895 1.895
Zn 4.735 2.847 2.847
Zn 2.847 4.735 2.847
Zn 2.847 2.847 4.735
Zn 4.735 4.735 4.735
```

Calculated values
Size of the total moment = 0.91 μB per atom



(two)
Material: PuScZn4
Method: DFT, PBE
State: optimized geometry

```
6
Lattice="3.039 0.000 0.000 0.000 4.545 0.000 0.000 0.000 7.964" Properties=species:S:1:pos:R:3 pbc="T T T"
Pu 0.000 0.000 0.000
Sc 0.000 2.273 3.982
Zn 1.519 0.000 2.730
Zn 1.519 0.000 5.233
Zn 1.519 2.273 1.431
Zn 1.519 2.273 6.533
```

Calculated values
Size of the total moment = 0.97 μB per atom



The structure with the most favorable energy is (two); the runner-up is 0.034 eV/atom above it.



(one)
Material: PuZr2Sc
Method: DFT, PBE
State: optimized geometry

```
4
Lattice="0.000 3.614 3.614 3.614 0.000 3.614 3.614 3.614 0.000" Properties=species:S:1:pos:R:3 pbc="T T T"
Pu 0.000 0.000 0.000
Zr 1.807 1.807 1.807
Zr 5.422 5.422 5.422
Sc 3.614 3.614 3.614
```

Calculated values
Size of the total moment = 1.68 μB per atom



(two)
Material: PuZr2Sc
Method: DFT, PBE
State: optimized geometry

```
4
Lattice="1.625 0.938 10.480 -1.625 0.938 10.480 0.000 -1.877 10.480" Properties=species:S:1:pos:R:3 pbc="T T T"
Pu 0.000 0.000 0.000
Zr 0.000 0.000 18.344
Zr 0.000 0.000 23.589
Sc 0.000 0.000 5.250
```

Calculated values
Size of the total moment = 1.29 μB per atom



The structure with the most favorable energy is (two); the runner-up is 0.092 eV/atom above it.



(one)
Material: PuZr2Sc
Method: DFT, PBE
State: optimized geometry

```
8
Lattice="4.606 -4.565 0.000 4.606 4.565 0.000 0.000 0.000 4.487" Properties=species:S:1:pos:R:3 pbc="T T T"
Pu 4.606 3.437 3.365
Pu 4.606 -3.437 1.122
Zr 2.278 1.159 3.365
Zr 2.278 -1.159 1.122
Zr 6.934 1.159 3.365
Zr 6.934 -1.159 1.122
Sc 4.606 1.145 1.122
Sc 4.606 -1.145 3.365
```

Calculated values
Size of the total moment = 1.30 μB per atom



(two)
Material: PuZr2Sc
Method: DFT, PBE
State: optimized geometry

```
4
Lattice="3.767 0.000 0.000 0.000 3.767 0.000 0.000 0.000 6.632" Properties=species:S:1:pos:R:3 pbc="T T T"
Pu 0.000 0.000 0.000
Zr 1.883 1.883 1.568
Zr 1.883 1.883 5.064
Sc 0.000 0.000 3.316
```

Calculated values
Size of the total moment = 1.43 μB per atom



(three)
Material: PuZr2Sc
Method: DFT, PBE
State: optimized geometry

```
4
Lattice="4.595 0.000 0.000 0.000 4.595 0.000 0.000 0.000 4.468" Properties=species:S:1:pos:R:3 pbc="T T T"
Pu 0.000 0.000 0.000
Zr 0.000 2.297 2.234
Zr 2.297 0.000 2.234
Sc 2.297 2.297 0.000
```

Calculated values
Size of the total moment = 1.38 μB per atom



(four)
Material: PuZr2Sc
Method: DFT, PBE
State: optimized geometry

```
4
Lattice="1.619 0.935 10.526 -1.619 0.935 10.526 0.000 -1.870 10.526" Properties=species:S:1:pos:R:3 pbc="T T T"
Pu 0.000 0.000 0.000
Zr 0.000 0.000 7.897
Zr 0.000 0.000 23.681
Sc 0.000 0.000 15.789
```

Calculated values
Size of the total moment = 1.30 μB per atom



The structure with the most favorable energy is (one); the runner-up is 0.020 eV/atom above it.